Below is SrLiTaPd after structural relaxation, with properties calculated at the PBE-GGA level.

a b c (Å): 6.733 6.733 6.733
angles (deg): 90.00 90.00 90.00
Space group F-43m (No. 216)
One atom of each set of equivalent atoms:
1 Sr 0.000 0.000 0.000 (multiplicity 4)
2 Li 0.250 0.250 0.250 (multiplicity 4)
3 Ta 0.250 0.250 0.750 (multiplicity 4)
4 Pd 0.000 0.000 0.500 (multiplicity 4)

Computed properties:
energy relative to the lowest polymorph listed for this composition = 0.000 eV per formula unit
total magnetization = 0.00 Bohr magnetons per cell